Record 1
Density functional theory data (GGA-PBE) for a relaxed Ca3As2H crystal.

```
data_Ca3As2H
_chemical_formula_sum 'Ca12 As8 H4'
_cell_length_a 8.620
_cell_length_b 3.832
_cell_length_c 16.769
_cell_angle_alpha 90.00
_cell_angle_beta 90.00
_cell_angle_gamma 90.00
_space_group_name_H-M_alt 'P n m a'
_space_group_IT_number 62
loop_
_space_group_symop_operation_xyz
'x,y,z'
'-x,-y,-z'
'-x+1/2,-y,z+1/2'
'x+1/2,y,-z+1/2'
'x+1/2,-y+1/2,-z+1/2'
'-x+1/2,y+1/2,z+1/2'
'-x,y+1/2,-z'
'x,-y+1/2,z'
loop_
_atom_site_label
_atom_site_fract_x
_atom_site_fract_y
_atom_site_fract_z
Ca1 0.010 0.250 0.104
Ca2 0.117 0.250 0.581
Ca3 0.187 0.750 0.275
As1 0.077 0.750 0.719
As2 0.250 0.250 0.958
H1 0.137 0.750 0.135
```

Record 2
Density functional theory data (GGA-PBE) for a relaxed CaAsH crystal.

```
data_CaAsH
_chemical_formula_sum 'Ca2 As2 H2'
_cell_length_a 4.154
_cell_length_b 4.548
_cell_length_c 6.139
_cell_angle_alpha 90.00
_cell_angle_beta 97.96
_cell_angle_gamma 90.00
_space_group_name_H-M_alt 'P 1 21/m 1'
_space_group_IT_number 11
loop_
_space_group_symop_operation_xyz
'x,y,z'
'-x,-y,-z'
'-x,y+1/2,-z'
'x,-y+1/2,z'
loop_
_atom_site_label
_atom_site_fract_x
_atom_site_fract_y
_atom_site_fract_z
Ca1 0.236 0.250 0.256
As1 0.275 0.250 0.765
H1 0.054 0.750 0.396
```

Record 3
Density functional theory data (GGA-PBE) for a relaxed Ca2As2H crystal.

```
data_Ca2As2H
_chemical_formula_sum 'Ca4 As4 H2'
_cell_length_a 7.043
_cell_length_b 7.043
_cell_length_c 4.465
_cell_angle_alpha 90.00
_cell_angle_beta 90.00
_cell_angle_gamma 90.00
_space_group_name_H-M_alt 'P 4/m b m'
_space_group_IT_number 127
_space_group_name_Hall '-P 4 2ab'
loop_
_atom_site_label
_atom_site_fract_x
_atom_site_fract_y
_atom_site_fract_z
Ca1 0.183 0.317 0.000
As1 0.120 0.620 0.500
H1 0.000 0.000 0.000
```

Record 4
Density functional theory data (GGA-PBE) for a relaxed Ca2AsH2 crystal.

```
data_Ca2AsH2
_chemical_formula_sum 'Ca4 As2 H4'
_cell_length_a 3.641
_cell_length_b 3.641
_cell_length_c 12.852
_cell_angle_alpha 90.00
_cell_angle_beta 90.00
_cell_angle_gamma 90.00
_space_group_name_H-M_alt 'I 4/m m m'
_space_group_IT_number 139
_space_group_name_Hall '-I 4 2'
loop_
_atom_site_label
_atom_site_fract_x
_atom_site_fract_y
_atom_site_fract_z
Ca1 0.000 0.000 0.147
As1 0.000 0.000 0.500
H1 0.000 0.500 0.250
```

Record 5
Density functional theory data (GGA-PBE) for a relaxed Ca2As2H crystal.

```
data_Ca2As2H
_chemical_formula_sum 'Ca4 As4 H2'
_cell_length_a 3.962
_cell_length_b 3.962
_cell_length_c 15.779
_cell_angle_alpha 90.00
_cell_angle_beta 90.00
_cell_angle_gamma 90.00
_space_group_name_H-M_alt 'I 4/m m m'
_space_group_IT_number 139
_space_group_name_Hall '-I 4 2'
loop_
_atom_site_label
_atom_site_fract_x
_atom_site_fract_y
_atom_site_fract_z
Ca1 0.000 0.000 0.112
As1 0.000 0.500 0.250
H1 0.000 0.000 0.500
```

Record 6
Density functional theory data (GGA-PBE) for a relaxed KCaAs2H crystal.

```
data_KCaAs2H
_chemical_formula_sum 'K1 Ca1 As2 H1'
_cell_length_a 4.672
_cell_length_b 4.672
_cell_length_c 4.595
_cell_angle_alpha 90.00
_cell_angle_beta 90.00
_cell_angle_gamma 90.00
_space_group_name_H-M_alt 'P 4/m m m'
_space_group_IT_number 123
_space_group_name_Hall '-P 4 2'
loop_
_atom_site_label
_atom_site_fract_x
_atom_site_fract_y
_atom_site_fract_z
K1 0.000 0.000 0.000
Ca1 0.500 0.500 0.000
As1 0.000 0.500 0.500
H1 0.000 0.000 0.500
```

Values of calculated total energy, in order: -0.29968; -0.29542; -0.29472; -0.28100; -0.26590; -0.24256, all in Ry/atom.